# 1
# GGA-PBEsol Sr2CoWO6, relaxed
# raw formation energy = -2.341 eV/atom
# calculated total energy = -8.013 eV per atom
data_Sr2CoWO6
_chemical_formula_sum 'Sr2 Co1 W1 O6'
_cell_length_a 5.566
_cell_length_b 5.566
_cell_length_c 5.566
_cell_angle_alpha 120.49
_cell_angle_beta 120.49
_cell_angle_gamma 89.15
_symmetry_space_group_name_H-M 'P 1'
_symmetry_Int_Tables_number 1
_symmetry_space_group_name_Hall 'P 1'
loop_
_atom_site_label
_atom_site_type_symbol
_atom_site_fract_x
_atom_site_fract_y
_atom_site_fract_z
Sr1 Sr 0.250 0.750 0.500
Sr2 Sr 0.750 0.250 0.500
Co1 Co 0.000 0.000 0.000
W1 W 0.500 0.500 0.000
O1 O 0.220 0.708 0.928
O2 O 0.257 0.257 0.000
O3 O 0.292 0.220 0.512
O4 O 0.708 0.780 0.488
O5 O 0.743 0.743 0.000
O6 O 0.780 0.292 0.072

=====

# 2
# GGA-PBEsol Sr2CoWO6, relaxed
# raw formation energy = -2.341 eV/atom
# calculated total energy = -8.014 eV per atom
data_Sr2CoWO6
_chemical_formula_sum 'Sr4 Co2 W2 O12'
_cell_length_a 5.571
_cell_length_b 5.543
_cell_length_c 9.621
_cell_angle_alpha 90.00
_cell_angle_beta 125.37
_cell_angle_gamma 90.00
_symmetry_space_group_name_H-M 'P 1'
_symmetry_Int_Tables_number 1
_symmetry_space_group_name_Hall 'P 1'
loop_
_atom_site_label
_atom_site_type_symbol
_atom_site_fract_x
_atom_site_fract_y
_atom_site_fract_z
Sr1 Sr 0.249 0.012 0.251
Sr2 Sr 0.249 0.488 0.751
Sr3 Sr 0.751 0.512 0.249
Sr4 Sr 0.751 0.988 0.749
Co1 Co 0.500 0.000 0.000
Co2 Co 0.500 0.500 0.500
W1 W 0.000 0.000 0.500
W2 W 0.000 0.500 0.000
O1 O 0.202 0.238 0.977
O2 O 0.202 0.262 0.477
O3 O 0.238 0.726 0.977
O4 O 0.238 0.774 0.477
O5 O 0.289 0.003 0.744
O6 O 0.289 0.497 0.244
O7 O 0.711 0.503 0.756
O8 O 0.711 0.997 0.256
O9 O 0.762 0.226 0.523
O10 O 0.762 0.274 0.023
O11 O 0.798 0.738 0.523
O12 O 0.798 0.762 0.023